[1]
## CsGe2As2 (PBE)

Data for a geometry-optimized CsGe2As2 structure.

Results
D(E_F)   3.088 states/eV/f.u.
SG   P4/mbm, No. 127
Distance to the lowest polymorph of the same formula   0.261 eV/atom
Electronic total energy   -3.791 eV/atom
E_form   0.09 eV/atom

Unit cell a=8.934 b=8.934 c=3.585 alpha=90.00 beta=90.00 gamma=90.00
Positions (direct):
Cs: 0.000 0.000 0.000
Cs: 0.500 0.500 0.000
Ge: 0.118 0.382 0.500
Ge: 0.382 0.882 0.500
Ge: 0.618 0.118 0.500
Ge: 0.882 0.618 0.500
As: 0.118 0.618 0.000
As: 0.382 0.118 0.000
As: 0.618 0.882 0.000
As: 0.882 0.382 0.000

***

[2]
## CsGe3As3 (PBE)

Data for a geometry-optimized CsGe3As3 structure.

Results
D(E_F)   1.958 states/eV/f.u.
SG   R-3, No. 148
Electronic total energy   -4.173 eV/atom
E_form   -0.08 eV/atom

Unit cell a=9.515 b=9.515 c=9.515 alpha=49.35 beta=49.35 gamma=49.35
Positions (direct):
Cs: 0.167 0.167 0.167
Cs: 0.833 0.833 0.833
Ge: 0.041 0.706 0.372
Ge: 0.294 0.628 0.959
Ge: 0.372 0.041 0.706
Ge: 0.628 0.959 0.294
Ge: 0.706 0.372 0.041
Ge: 0.959 0.294 0.628
As: 0.065 0.395 0.725
As: 0.275 0.935 0.605
As: 0.395 0.725 0.065
As: 0.605 0.275 0.935
As: 0.725 0.065 0.395
As: 0.935 0.605 0.275

***

[3]
## CsGe2As4 (PBE)

Data for a geometry-optimized CsGe2As4 structure.

Results
D(E_F)   0.168 states/eV/f.u.
SG   P1, No. 1
Electronic total energy   -4.144 eV/atom
E_form   -0.05 eV/atom

Unit cell a=5.852 b=8.345 c=10.080 alpha=72.52 beta=73.40 gamma=83.70
Positions (direct):
Cs: 0.000 0.000 0.000
Cs: 0.245 0.773 0.450
Ge: 0.183 0.432 0.243
Ge: 0.490 0.376 0.660
Ge: 0.612 0.839 0.675
Ge: 0.656 0.418 0.234
As: 0.254 0.547 0.972
As: 0.364 0.108 0.622
As: 0.492 0.294 0.927
As: 0.590 0.741 0.944
As: 0.800 0.140 0.581
As: 0.809 0.467 0.959
As: 0.832 0.611 0.319
As: 0.933 0.175 0.314

***

[4]
## CsGe2As (PBE)

Data for a geometry-optimized CsGe2As structure.

Results
D(E_F)   1.746 states/eV/f.u.
SG   I4_1/amd, No. 141
Electronic total energy   -3.616 eV/atom
E_form   0.07 eV/atom

Unit cell a=10.006 b=10.006 c=10.006 alpha=148.86 beta=148.86 gamma=44.61
Positions (direct):
Cs: 0.375 0.625 0.750
Cs: 0.625 0.375 0.250
Ge: 0.000 0.000 0.000
Ge: 0.000 0.000 0.500
Ge: 0.000 0.500 0.000
Ge: 0.500 0.000 0.500
As: 0.125 0.875 0.250
As: 0.875 0.125 0.750

***

[5]
## CsGe2As2 (PBE)

Data for a geometry-optimized CsGe2As2 structure.

Results
D(E_F)   3.204 states/eV/f.u.
SG   P4/mbm, No. 127
Distance to the lowest polymorph of the same formula   0.245 eV/atom
Electronic total energy   -3.807 eV/atom
E_form   0.07 eV/atom

Unit cell a=8.860 b=8.860 c=3.542 alpha=90.00 beta=90.00 gamma=90.00
Positions (direct):
Cs: 0.000 0.000 0.000
Cs: 0.500 0.500 0.000
Ge: 0.111 0.389 0.000
Ge: 0.389 0.889 0.000
Ge: 0.611 0.111 0.000
Ge: 0.889 0.611 0.000
As: 0.131 0.631 0.500
As: 0.369 0.131 0.500
As: 0.631 0.869 0.500
As: 0.869 0.369 0.500

***

[6]
## CsGe2As2 (PBE)

Data for a geometry-optimized CsGe2As2 structure.

Results
D(E_F)   0.286 states/eV/f.u.
SG   P-1, No. 2
Distance to the lowest polymorph of the same formula   0.007 eV/atom
Electronic total energy   -4.045 eV/atom
E_form   -0.17 eV/atom

Unit cell a=5.394 b=7.792 c=8.903 alpha=111.29 beta=106.59 gamma=95.94
Positions (direct):
Cs: 0.192 0.244 0.466
Cs: 0.808 0.756 0.534
Ge: 0.299 0.438 0.038
Ge: 0.485 0.903 0.134
Ge: 0.515 0.097 0.866
Ge: 0.701 0.562 0.962
As: 0.141 0.722 0.201
As: 0.444 0.748 0.822
As: 0.556 0.252 0.178
As: 0.859 0.278 0.799

***

[7]
## CsGeAs (PBE)

Data for a geometry-optimized CsGeAs structure.

Results
D(E_F)   1.156 states/eV/f.u.
SG   P-1, No. 2
Distance to the lowest polymorph of the same formula   0.054 eV/atom
Electronic total energy   -3.581 eV/atom
E_form   -0.21 eV/atom

Unit cell a=4.713 b=7.311 c=7.556 alpha=62.27 beta=89.09 gamma=71.27
Positions (direct):
Cs: 0.181 0.156 0.202
Cs: 0.819 0.844 0.798
Ge: 0.491 0.507 0.664
Ge: 0.509 0.493 0.336
As: 0.088 0.315 0.644
As: 0.912 0.685 0.356

***

[8]
## CsHg2GeAs (PBE)

Data for a geometry-optimized CsHg2GeAs structure.

Results
D(E_F)   2.699 states/eV/f.u.
SG   P4/mmm, No. 123
Electronic total energy   -2.153 eV/atom
E_form   -0.01 eV/atom

Unit cell a=5.681 b=5.681 c=5.232 alpha=90.00 beta=90.00 gamma=90.00
Positions (direct):
Cs: 0.000 0.000 0.000
Hg: 0.000 0.500 0.500
Hg: 0.500 0.000 0.500
Ge: 0.500 0.500 0.500
As: 0.500 0.500 0.000

***

[9]
## Cs2GeAsI6 (PBE)

Data for a geometry-optimized Cs2GeAsI6 structure.

Results
D(E_F)   4.487 states/eV/f.u.
SG   I4/mmm, No. 139
Electronic total energy   -2.740 eV/atom
Formation energy without anion corrections   -7.13 eV/f.u.

Unit cell a=8.415 b=8.415 c=8.415 alpha=120.01 beta=120.01 gamma=89.98
Positions (direct):
Cs: 0.250 0.750 0.500
Cs: 0.750 0.250 0.500
Ge: 0.000 0.000 0.000
As: 0.500 0.500 0.000
I: 0.251 0.251 0.502
I: 0.251 0.749 0.000
I: 0.252 0.252 0.000
I: 0.748 0.748 0.000
I: 0.749 0.251 0.000
I: 0.749 0.749 0.498

***

[10]
## CsNaGeAs2 (PBE)

Data for a geometry-optimized CsNaGeAs2 structure.

Results
D(E_F)   1.272 states/eV/f.u.
SG   C2/m, No. 12
Electronic total energy   -3.483 eV/atom
E_form   -0.27 eV/atom

Unit cell a=7.815 b=7.815 c=10.431 alpha=98.03 beta=98.03 gamma=31.32
Positions (direct):
Cs: 0.137 0.137 0.156
Cs: 0.863 0.863 0.844
Na: 0.199 0.199 0.583
Na: 0.801 0.801 0.417
Ge: 0.446 0.446 0.342
Ge: 0.554 0.554 0.658
As: 0.103 0.103 0.796
As: 0.393 0.393 0.562
As: 0.607 0.607 0.438
As: 0.897 0.897 0.204

***

[11]
## CsGe2AsO (PBE)

Data for a geometry-optimized CsGe2AsO structure.

Results
D(E_F)   3.908 states/eV/f.u.
SG   P4/mmm, No. 123
Electronic total energy   -3.665 eV/atom
Formation energy without anion corrections   1.37 eV/f.u.

Unit cell a=5.518 b=5.518 c=4.037 alpha=90.00 beta=90.00 gamma=90.00
Positions (direct):
Cs: 0.000 0.000 0.000
Ge: 0.000 0.500 0.500
Ge: 0.500 0.000 0.500
As: 0.500 0.500 0.500
O: 0.500 0.500 0.000

***

[12]
## CsGeAs2O8 (PBE)

Data for a geometry-optimized CsGeAs2O8 structure.

Results
D(E_F)   9.252 states/eV/f.u.
SG   P-3, No. 147
Electronic total energy   -5.812 eV/atom
Formation energy without anion corrections   -15.31 eV/f.u.

Unit cell a=5.063 b=5.063 c=9.169 alpha=90.00 beta=90.00 gamma=120.00
Positions (direct):
Cs: 0.000 0.000 0.000
Ge: 0.000 0.000 0.500
As: 0.333 0.667 0.677
As: 0.667 0.333 0.323
O: 0.032 0.318 0.623
O: 0.286 0.968 0.623
O: 0.318 0.286 0.377
O: 0.333 0.667 0.863
O: 0.667 0.333 0.137
O: 0.682 0.714 0.623
O: 0.714 0.032 0.377
O: 0.968 0.682 0.377

***

[13]
## Cs2GeAsP (PBE)

Data for a geometry-optimized Cs2GeAsP structure.

Results
D(E_F)   6.532 states/eV/f.u.
SG   P4/mmm, No. 123
Electronic total energy   -3.056 eV/atom
E_form   0.22 eV/atom

Unit cell a=7.030 b=7.030 c=4.633 alpha=90.00 beta=90.00 gamma=90.00
Positions (direct):
Cs: 0.000 0.500 0.000
Cs: 0.500 0.000 0.000
Ge: 0.000 0.000 0.500
As: 0.500 0.500 0.500
P: 0.000 0.000 0.000

***

[14]
## Cs2GeAs2Pb (PBE)

Data for a geometry-optimized Cs2GeAs2Pb structure.

Results
D(E_F)   3.014 states/eV/f.u.
SG   Ibam, No. 72
Electronic total energy   -3.451 eV/atom
E_form   -0.23 eV/atom

Unit cell a=9.500 b=9.500 c=9.500 alpha=130.17 beta=67.37 gamma=137.71
Positions (direct):
Cs: 0.177 0.219 0.396
Cs: 0.323 0.719 0.042
Cs: 0.677 0.281 0.958
Cs: 0.823 0.781 0.604
Ge: 0.250 0.250 0.000
Ge: 0.750 0.750 0.000
As: 0.077 0.798 0.874
As: 0.423 0.298 0.721
As: 0.577 0.702 0.279
As: 0.923 0.202 0.126
Pb: 0.250 0.750 0.500
Pb: 0.750 0.250 0.500

***

[15]
## Cs4Rb2GeAs2 (PBE)

Data for a geometry-optimized Cs4Rb2GeAs2 structure.

Results
D(E_F)   6.922 states/eV/f.u.
SG   C2/m, No. 12
Electronic total energy   -2.279 eV/atom
E_form   -0.14 eV/atom

Unit cell a=13.197 b=13.197 c=5.403 alpha=90.13 beta=90.13 gamma=46.64
Positions (direct):
Cs: 0.139 0.661 0.000
Cs: 0.339 0.861 0.000
Cs: 0.661 0.139 0.000
Cs: 0.861 0.339 0.000
Rb: 0.244 0.244 0.500
Rb: 0.756 0.756 0.500
Ge: 0.000 0.000 0.500
As: 0.094 0.094 0.501
As: 0.906 0.906 0.499

***

[16]
## Cs2RbGeAs2 (PBE)

Data for a geometry-optimized Cs2RbGeAs2 structure.

Results
D(E_F)   4.035 states/eV/f.u.
SG   Ibam, No. 72
Electronic total energy   -3.065 eV/atom
E_form   -0.30 eV/atom

Unit cell a=9.723 b=9.723 c=9.723 alpha=128.12 beta=69.22 gamma=137.52
Positions (direct):
Cs: 0.179 0.199 0.378
Cs: 0.321 0.699 0.020
Cs: 0.679 0.301 0.980
Cs: 0.821 0.801 0.622
Rb: 0.250 0.750 0.500
Rb: 0.750 0.250 0.500
Ge: 0.250 0.250 0.000
Ge: 0.750 0.750 0.000
As: 0.082 0.824 0.906
As: 0.418 0.324 0.742
As: 0.582 0.676 0.258
As: 0.918 0.176 0.094

***

[17]
## Cs2ReGeAs (PBE)

Data for a geometry-optimized Cs2ReGeAs structure.

Results
D(E_F)   4.186 states/eV/f.u.
SG   P4/mmm, No. 123
Electronic total energy   -3.582 eV/atom
E_form   1.10 eV/atom

Unit cell a=6.210 b=6.210 c=4.812 alpha=90.00 beta=90.00 gamma=90.00
Positions (direct):
Cs: 0.000 0.500 0.000
Cs: 0.500 0.000 0.000
Re: 0.000 0.000 0.000
Ge: 0.000 0.000 0.500
As: 0.500 0.500 0.500

***

[18]
## Cs2GeAsSe4 (PBE)

Data for a geometry-optimized Cs2GeAsSe4 structure.

Results
D(E_F)   3.046 states/eV/f.u.
SG   Fddd, No. 70
Electronic total energy   -3.705 eV/atom
Formation energy without anion corrections   -4.73 eV/f.u.

Unit cell a=14.687 b=13.027 c=8.166 alpha=84.42 beta=61.98 gamma=33.60
Positions (direct):
Cs: 0.055 0.055 0.695
Cs: 0.305 0.305 0.945
Cs: 0.695 0.695 0.055
Cs: 0.945 0.945 0.305
Ge: 0.375 0.375 0.375
Ge: 0.625 0.625 0.625
As: 0.125 0.125 0.125
As: 0.875 0.875 0.875
Se: 0.023 0.339 0.419
Se: 0.281 0.581 0.661
Se: 0.339 0.023 0.719
Se: 0.419 0.719 0.023
Se: 0.581 0.281 0.977
Se: 0.661 0.977 0.281
Se: 0.719 0.419 0.339
Se: 0.977 0.661 0.581

***

[19]
## CsGeAs2Se (PBE)

Data for a geometry-optimized CsGeAs2Se structure.

Results
D(E_F)   4.518 states/eV/f.u.
SG   P4/mmm, No. 123
Electronic total energy   -2.004 eV/atom
Formation energy without anion corrections   8.23 eV/f.u.

Unit cell a=5.809 b=5.809 c=5.536 alpha=90.00 beta=90.00 gamma=90.00
Positions (direct):
Cs: 0.000 0.000 0.000
Ge: 0.500 0.500 0.500
As: 0.000 0.500 0.000
As: 0.500 0.000 0.000
Se: 0.000 0.000 0.500

***

[20]
## Cs2SnGeAs (PBE)

Data for a geometry-optimized Cs2SnGeAs structure.

Results
D(E_F)   2.965 states/eV/f.u.
SG   P4/mmm, No. 123
Electronic total energy   -2.753 eV/atom
E_form   0.24 eV/atom

Unit cell a=7.372 b=7.372 c=4.656 alpha=90.00 beta=90.00 gamma=90.00
Positions (direct):
Cs: 0.000 0.500 0.000
Cs: 0.500 0.000 0.000
Sn: 0.000 0.000 0.500
Ge: 0.500 0.500 0.000
As: 0.500 0.500 0.500

***

[21]
## CsGeTe3As (PBE)

Data for a geometry-optimized CsGeTe3As structure.

Results
SG   P2_1/m, No. 11
Electronic total energy   -3.609 eV/atom
Formation energy without anion corrections   -2.11 eV/f.u.

Unit cell a=9.784 b=4.205 c=11.888 alpha=90.00 beta=113.91 gamma=90.00
Positions (direct):
Cs: 0.049 0.250 0.279
Cs: 0.951 0.750 0.721
Ge: 0.437 0.250 0.555
Ge: 0.563 0.750 0.445
Te: 0.260 0.750 0.585
Te: 0.314 0.250 0.903
Te: 0.348 0.750 0.211
Te: 0.652 0.250 0.789
Te: 0.686 0.750 0.097
Te: 0.740 0.250 0.415
As: 0.485 0.750 0.852
As: 0.515 0.250 0.148